Record 1
Entry from Alexandria via LeMat-Bulk: a relaxed Tb6DyTm2 crystal (PBE).

Cell and atoms, written as CIF:
```
data_Tb6DyTm2
_space_group_name_H-M_alt 'P -1'
_space_group_IT_number 2
_cell_length_a 3.537
_cell_length_b 8.654
_cell_length_c 9.351
_cell_angle_alpha 90.01
_cell_angle_beta 100.85
_cell_angle_gamma 90.05
loop_
_space_group_symop_operation_xyz
'x,y,z'
'-x,-y,-z'
loop_
_atom_site_label
_atom_site_type_symbol
_atom_site_fract_x
_atom_site_fract_y
_atom_site_fract_z
Tb1 Tb 0.110 0.166 0.221
Tb2 Tb 0.222 0.834 0.443
Tb3 Tb 0.333 0.500 0.668
Dy1 Dy 0.000 0.500 0.000
Tm1 Tm 0.444 0.167 0.890
```

Formation enthalpy at 0 K   17 meV per atom
Energy above the most stable polymorph in this dataset   0 meV per atom
E_tot   -4.574 eV/atom
V   31.2 A^3/atom

Record 2
Entry from Alexandria via LeMat-Bulk: a relaxed Tb5Dy12Tm2 crystal (PBE).

Cell and atoms, written as CIF:
```
data_Tb5Dy12Tm2
_space_group_name_H-M_alt 'C 1 2/m 1'
_space_group_IT_number 12
_cell_length_a 15.459
_cell_length_b 9.183
_cell_length_c 8.556
_cell_angle_alpha 90.00
_cell_angle_beta 92.21
_cell_angle_gamma 90.00
loop_
_space_group_symop_operation_xyz
'x,y,z'
'-x,-y,-z'
'-x,y,-z'
'x,-y,z'
'x+1/2,y+1/2,z'
'-x+1/2,-y+1/2,-z'
'-x+1/2,y+1/2,-z'
'x+1/2,-y+1/2,z'
loop_
_atom_site_label
_atom_site_type_symbol
_atom_site_fract_x
_atom_site_fract_y
_atom_site_fract_z
Tb1 Tb 0.000 0.000 0.000
Tb2 Tb 0.206 0.500 0.523
Tb3 Tb 0.231 0.000 0.071
Dy1 Dy 0.057 0.500 0.838
Dy2 Dy 0.074 0.000 0.375
Dy3 Dy 0.130 0.307 0.173
Dy4 Dy 0.149 0.180 0.739
Tm1 Tm 0.000 0.328 0.500
```

Formation enthalpy at 0 K   124 meV per atom
Energy above the most stable polymorph in this dataset   11 meV per atom
E_tot   -4.472 eV/atom
V   31.9 A^3/atom

Record 3
Entry from Alexandria via LeMat-Bulk: a relaxed TbDy3Tm6 crystal (PBE).

Cell and atoms, written as CIF:
```
data_TbDy3Tm6
_space_group_name_H-M_alt 'C m c 21'
_space_group_IT_number 36
_cell_length_a 9.465
_cell_length_b 20.702
_cell_length_c 6.294
_cell_angle_alpha 90.00
_cell_angle_beta 90.00
_cell_angle_gamma 90.00
loop_
_space_group_symop_operation_xyz
'x,y,z'
'-x,-y,z+1/2'
'-x,y,z'
'x,-y,z+1/2'
'x+1/2,y+1/2,z'
'-x+1/2,-y+1/2,z+1/2'
'-x+1/2,y+1/2,z'
'x+1/2,-y+1/2,z+1/2'
loop_
_atom_site_label
_atom_site_type_symbol
_atom_site_fract_x
_atom_site_fract_y
_atom_site_fract_z
Tb1 Tb 0.000 0.162 0.000
Dy1 Dy 0.000 0.420 0.919
Dy2 Dy 0.169 0.128 0.526
Tm1 Tm 0.000 0.014 0.196
Tm2 Tm 0.000 0.302 0.227
Tm3 Tm 0.176 0.281 0.684
Tm4 Tm 0.182 0.439 0.446
```

Formation enthalpy at 0 K   124 meV per atom
Energy above the most stable polymorph in this dataset   0 meV per atom
E_tot   -4.403 eV/atom
V   30.8 A^3/atom

Record 4
Entry from Alexandria via LeMat-Bulk: a relaxed TbDy4Tm6 crystal (PBE).

Cell and atoms, written as CIF:
```
data_TbDy4Tm6
_space_group_name_H-M_alt 'I -4 2 m'
_space_group_IT_number 121
_space_group_name_Hall 'I -4 2'
_cell_length_a 7.568
_cell_length_b 7.568
_cell_length_c 12.881
_cell_angle_alpha 90.00
_cell_angle_beta 90.00
_cell_angle_gamma 90.00
loop_
_atom_site_label
_atom_site_type_symbol
_atom_site_fract_x
_atom_site_fract_y
_atom_site_fract_z
Tb1 Tb 0.000 0.000 0.000
Dy1 Dy 0.169 0.169 0.424
Tm1 Tm 0.000 0.500 0.000
Tm2 Tm 0.245 0.245 0.183
```

Formation enthalpy at 0 K   471 meV per atom
Energy above the most stable polymorph in this dataset   345 meV per atom
E_tot   -4.063 eV/atom
V   33.5 A^3/atom

Record 5
Entry from Alexandria via LeMat-Bulk: a relaxed TbDyTm5 crystal (PBE).

Cell and atoms, written as CIF:
```
data_TbDyTm5
_space_group_name_H-M_alt 'C 1 2/c 1'
_space_group_IT_number 15
_cell_length_a 11.489
_cell_length_b 6.680
_cell_length_c 12.000
_cell_angle_alpha 90.00
_cell_angle_beta 109.72
_cell_angle_gamma 90.00
loop_
_space_group_symop_operation_xyz
'x,y,z'
'-x,-y,-z'
'-x,y,-z+1/2'
'x,-y,z+1/2'
'x+1/2,y+1/2,z'
'-x+1/2,-y+1/2,-z'
'-x+1/2,y+1/2,-z+1/2'
'x+1/2,-y+1/2,z+1/2'
loop_
_atom_site_label
_atom_site_type_symbol
_atom_site_fract_x
_atom_site_fract_y
_atom_site_fract_z
Tb1 Tb 0.000 0.027 0.250
Dy1 Dy 0.250 0.250 0.000
Tm1 Tm 0.000 0.415 0.750
Tm2 Tm 0.078 0.272 0.500
Tm3 Tm 0.221 0.359 0.249
```

Formation enthalpy at 0 K   203 meV per atom
Energy above the most stable polymorph in this dataset   0 meV per atom
E_tot   -4.309 eV/atom
V   31.0 A^3/atom

Record 6
Entry from Alexandria via LeMat-Bulk: a relaxed TbDy8Tm3 crystal (PBE).

Cell and atoms, written as CIF:
```
data_TbDy8Tm3
_space_group_name_H-M_alt 'I 4/m m m'
_space_group_IT_number 139
_space_group_name_Hall '-I 4 2'
_cell_length_a 7.621
_cell_length_b 7.621
_cell_length_c 15.245
_cell_angle_alpha 90.00
_cell_angle_beta 90.00
_cell_angle_gamma 90.00
loop_
_atom_site_label
_atom_site_type_symbol
_atom_site_fract_x
_atom_site_fract_y
_atom_site_fract_z
Tb1 Tb 0.000 0.000 0.000
Dy1 Dy 0.249 0.249 0.375
Tm1 Tm 0.000 0.000 0.500
Tm2 Tm 0.000 0.500 0.250
```

Formation enthalpy at 0 K   721 meV per atom
E_tot   -3.851 eV/atom
V   36.9 A^3/atom